## NaSm2Cu2Se4 (PBE)

Data for an optimized crystal structure of NaSm2Cu2Se4.

a b c (Å): 14.9401 3.8589 7.4014
angles (deg): 90.00 113.57 90.00
Space group C2/m (No. 12)
One atom of each set of equivalent atoms:
Na 0.0000 0.0000 0.0000 (multiplicity 2)
Sm 0.1263 0.0000 0.5656 (multiplicity 4)
Cu 0.1911 0.5000 0.0052 (multiplicity 4)
Se 0.0256 0.5000 0.7348 (multiplicity 4)
Se 0.2123 0.0000 0.2387 (multiplicity 4)

Computed properties:
formation energy from raw total energies	-1.11	eV per atom